--- P ---
The following is a DFT calculation (PBE) of crystalline RbAsHIr at its relaxed geometry.

Cell and atoms, written as POSCAR:
```
RbAsHIr
1.0
3.112 0.000 0.000
0.000 4.466 0.000
0.000 0.000 11.960
Ir H As Rb
2 2 2 2
Direct
0.000 0.500 0.369 Ir
0.000 0.000 0.869 Ir
0.000 0.500 0.234 H
0.000 0.000 0.734 H
0.000 0.000 0.432 As
0.000 0.500 0.932 As
0.500 0.000 0.158 Rb
0.500 0.500 0.658 Rb
```

For the density of states at the Fermi level, the calculation gives 0.37 states/eV/atom. The calculation puts the spin magnetization at 0.00 μB per atom.

--- Q ---
The following is a DFT calculation (PBE) of crystalline RbAsHIr at its relaxed geometry.

Cell and atoms, written as POSCAR:
```
RbAsHIr
1.0
-3.213 5.109 -0.015
-2.601 -1.633 0.834
2.643 -0.078 8.093
As Rb Ir H
2 2 2 2
Direct
0.477 0.500 0.125 As
0.477 0.000 0.625 As
0.966 0.500 0.454 Rb
0.966 0.000 0.954 Rb
0.428 0.500 0.828 Ir
0.428 0.000 0.328 Ir
0.747 0.000 0.645 H
0.747 0.500 0.145 H
```

For the density of states at the Fermi level, the calculation gives 0.03 states/eV/atom. The calculation puts the spin magnetization at 0.00 μB per atom.

Most stable one: P, least stable one: Q.